# 1
## TiAlV2 (PBE)

Data for crystalline TiAlV2 at its relaxed geometry.

Cell: 3.1923 4.3328 8.5819 Å, 90.00 90.00 90.00°
Closest atoms and distances in Å follow each position.
Space group Cmm2 (No. 35)
One atom of each set of equivalent atoms:
Ti  0.0000  0.0000  0.0000 (multiplicity 2)  2 V 2.66, 4 Ti 2.69, 2 Al 2.82
Al  0.0000  0.5000  0.2711 (multiplicity 2)  2 V 2.67, 4 Al 2.69, 2 Ti 2.82
V  0.0000  0.0000  0.5202 (multiplicity 2)  6 V 2.55-2.69, 2 Al 2.67
V  0.0000  0.5000  0.7514 (multiplicity 2)  6 V 2.55-2.69, 2 Ti 2.66

Computed properties:
* energy of formation from the pure elements: -84 meV/atom
* ρ: 4.9 g/cm³

# 2
## LiSc2Ag (PBE)

Data for crystalline LiSc2Ag at its relaxed geometry.

Cell: 4.1336 4.1336 9.5376 Å, 90.00 90.00 90.00°
Closest atoms and distances in Å follow each position.
Space group I-4m2 (No. 119)
One atom of each set of equivalent atoms:
Li  0.0000  0.0000  0.0000 (multiplicity 2)  8 Sc 2.92-3.16, 4 Ag 3.16
Sc  0.0000  0.0000  0.5000 (multiplicity 2)  4 Li 2.92, 4 Sc 3.16, 4 Ag 3.16
Sc  0.0000  0.5000  0.7500 (multiplicity 2)  4 Ag 2.92, 4 Li 3.16, 4 Sc 3.16
Ag  0.0000  0.5000  0.2500 (multiplicity 2)  8 Sc 2.92-3.16, 4 Li 3.16

Computed properties:
* energy of formation from the pure elements: 42 meV/atom
* ρ: 4.2 g/cm³

# 3
## RbLi5 (PBE)

Data for crystalline RbLi5 at its relaxed geometry.

Cell: 5.7983 16.6468 3.6653 Å, 90.00 90.00 90.00°
Closest atoms and distances in Å follow each position.
Space group Cmmm (No. 65)
One atom of each set of equivalent atoms:
Rb  0.0000  0.0000  0.0000 (multiplicity 2)  8 Li 3.43-3.82, 2 Rb 3.67
Li  0.0000  0.2016  0.5000 (multiplicity 4)  4 Li 2.98-3.32
Li  0.0000  0.3426  0.0000 (multiplicity 4)  4 Li 2.98-3.20
Li  0.0000  0.5000  0.5000 (multiplicity 2)  4 Li 3.20, 4 Rb 3.43

Computed properties:
* energy of formation from the pure elements: 177 meV/atom
* ρ: 1.1 g/cm³

Q: Look up the energy of formation from the pure elements of the third one.
A: 177 meV/atom

Q: What is the formula in the third record?
A: RbLi5

Copy entry 1 word for word.
## TiAlV2 (PBE)

Data for crystalline TiAlV2 at its relaxed geometry.

Cell: 3.1923 4.3328 8.5819 Å, 90.00 90.00 90.00°
Closest atoms and distances in Å follow each position.
Space group Cmm2 (No. 35)
One atom of each set of equivalent atoms:
Ti  0.0000  0.0000  0.0000 (multiplicity 2)  2 V 2.66, 4 Ti 2.69, 2 Al 2.82
Al  0.0000  0.5000  0.2711 (multiplicity 2)  2 V 2.67, 4 Al 2.69, 2 Ti 2.82
V  0.0000  0.0000  0.5202 (multiplicity 2)  6 V 2.55-2.69, 2 Al 2.67
V  0.0000  0.5000  0.7514 (multiplicity 2)  6 V 2.55-2.69, 2 Ti 2.66

Computed properties:
* energy of formation from the pure elements: -84 meV/atom
* ρ: 4.9 g/cm³